No. 1
The following is a DFT calculation (GGA-PBE) of a relaxed structure of PuZrNi10.

Its density of states at the Fermi level is 1.769 states/eV/atom. The symmetry is Pmmm. The formation enthalpy at 0 K is -0.234 eV per atom. For the uncorrected energy, the calculation gives -6.959 eV per atom. As for the total magnetization: 0.16 μB per atom.

a b c (Å): 3.955 4.809 8.365
angles (deg): 90.00 90.00 90.00
Fractional coordinates of all 12 atoms:
Pu 0.000 0.000 0.000
Zr 0.000 0.500 0.500
Ni 0.000 0.000 0.338
Ni 0.000 0.000 0.662
Ni 0.000 0.500 0.172
Ni 0.000 0.500 0.828
Ni 0.500 0.000 0.500
Ni 0.500 0.253 0.256
Ni 0.500 0.253 0.744
Ni 0.500 0.500 0.000
Ni 0.500 0.747 0.256
Ni 0.500 0.747 0.744


No. 2
The following is a DFT calculation (GGA-PBE) of a relaxed structure of PuZrNi2.

The energy above the most stable polymorph in this dataset is 101 meV/atom. Its density of states at the Fermi level is 2.740 states/eV/atom. The symmetry is Fm-3m. The formation enthalpy at 0 K is -0.115 eV per atom. For the uncorrected energy, the calculation gives -8.726 eV per atom. As for the total magnetization: 1.39 μB per atom.

a b c (Å): 4.647 4.647 4.647
angles (deg): 60.00 60.00 60.00
Fractional coordinates of all 4 atoms:
Pu 0.000 0.000 0.000
Zr 0.500 0.500 0.500
Ni 0.250 0.250 0.250
Ni 0.750 0.750 0.750


No. 3
The following is a DFT calculation (GGA-PBE) of a relaxed structure of Pu2ZrNi9.

Its density of states at the Fermi level is 2.234 states/eV/atom. The symmetry is R-3m. The formation enthalpy at 0 K is -0.279 eV per atom. For the uncorrected energy, the calculation gives -7.716 eV per atom. As for the total magnetization: 0.77 μB per atom.

a b c (Å): 8.620 8.620 8.620
angles (deg): 32.77 32.77 32.77
Fractional coordinates of all 12 atoms:
Pu 0.141 0.141 0.141
Pu 0.859 0.859 0.859
Zr 0.000 0.000 0.000
Ni 0.081 0.581 0.581
Ni 0.333 0.333 0.333
Ni 0.419 0.419 0.919
Ni 0.419 0.919 0.419
Ni 0.500 0.500 0.500
Ni 0.581 0.081 0.581
Ni 0.581 0.581 0.081
Ni 0.667 0.667 0.667
Ni 0.919 0.419 0.419


No. 4
The following is a DFT calculation (GGA-PBE) of a relaxed structure of PuZrNi4.

Its density of states at the Fermi level is 2.262 states/eV/atom. The symmetry is F-43m. The formation enthalpy at 0 K is -0.312 eV per atom. For the uncorrected energy, the calculation gives -7.979 eV per atom. As for the total magnetization: 0.96 μB per atom.

a b c (Å): 4.985 4.985 4.985
angles (deg): 60.00 60.00 60.00
Fractional coordinates of all 6 atoms:
Pu 0.000 0.000 0.000
Zr 0.250 0.250 0.250
Ni 0.125 0.625 0.625
Ni 0.625 0.125 0.625
Ni 0.625 0.625 0.125
Ni 0.625 0.625 0.625


No. 5
The following is a DFT calculation (GGA-PBE) of a relaxed structure of RbNi.

Its density of states at the Fermi level is 1.880 states/eV/atom. The symmetry is Fddd. The formation enthalpy at 0 K is 0.855 eV per atom. For the uncorrected energy, the calculation gives -2.520 eV per atom. As for the total magnetization: 0.30 μB per atom.

a b c (Å): 9.262 8.461 5.800
angles (deg): 78.57 63.56 37.87
Fractional coordinates of all 8 atoms:
Rb 0.044 0.706 0.044
Rb 0.294 0.956 0.294
Rb 0.706 0.044 0.706
Rb 0.956 0.294 0.956
Ni 0.303 0.303 0.447
Ni 0.447 0.447 0.303
Ni 0.553 0.553 0.697
Ni 0.697 0.697 0.553


No. 6
The following is a DFT calculation (GGA-PBE) of a relaxed structure of RbNi.

Its density of states at the Fermi level is 1.183 states/eV/atom. The symmetry is Pmmn. The formation enthalpy at 0 K is 0.552 eV per atom. For the uncorrected energy, the calculation gives -2.822 eV per atom. As for the total magnetization: 0.26 μB per atom.

a b c (Å): 4.269 10.507 10.021
angles (deg): 90.00 90.00 90.00
Fractional coordinates of all 12 atoms:
Rb 0.250 0.074 0.212
Rb 0.250 0.250 0.662
Rb 0.250 0.426 0.212
Rb 0.750 0.574 0.788
Rb 0.750 0.750 0.338
Rb 0.750 0.926 0.788
Ni 0.250 0.541 0.516
Ni 0.250 0.750 0.578
Ni 0.250 0.959 0.516
Ni 0.750 0.041 0.484
Ni 0.750 0.250 0.422
Ni 0.750 0.459 0.484


No. 7
The following is a DFT calculation (GGA-PBE) of a relaxed structure of RbNi.

Its density of states at the Fermi level is 1.414 states/eV/atom. The symmetry is P6_3mc. The formation enthalpy at 0 K is 0.622 eV per atom. For the uncorrected energy, the calculation gives -2.752 eV per atom. As for the total magnetization: 0.19 μB per atom.

a b c (Å): 5.806 5.806 4.465
angles (deg): 90.00 90.00 120.00
Fractional coordinates of all 4 atoms:
Rb 0.333 0.667 0.000
Rb 0.667 0.333 0.500
Ni 0.000 0.000 0.213
Ni 0.000 0.000 0.713


No. 8
The following is a DFT calculation (GGA-PBE) of a relaxed structure of RbNi.

Its density of states at the Fermi level is 6.683 states/eV/atom. The symmetry is P6_3/mmc. The formation enthalpy at 0 K is 1.334 eV per atom. For the uncorrected energy, the calculation gives -2.041 eV per atom. As for the total magnetization: 0.50 μB per atom.

a b c (Å): 6.063 6.063 7.119
angles (deg): 90.00 90.00 120.00
Fractional coordinates of all 4 atoms:
Rb 0.333 0.667 0.250
Rb 0.667 0.333 0.750
Ni 0.333 0.667 0.750
Ni 0.667 0.333 0.250


No. 9
The following is a DFT calculation (GGA-PBE) of a relaxed structure of RbNi.

Its density of states at the Fermi level is 6.247 states/eV/atom. The symmetry is F-43m. The formation enthalpy at 0 K is 1.389 eV per atom. For the uncorrected energy, the calculation gives -1.986 eV per atom. As for the total magnetization: 0.50 μB per atom.

a b c (Å): 5.627 5.627 5.627
angles (deg): 60.00 60.00 60.00
Fractional coordinates of all 2 atoms:
Rb 0.000 0.000 0.000
Ni 0.250 0.250 0.250


No. 10
The following is a DFT calculation (GGA-PBE) of a relaxed structure of RbNi.

Its density of states at the Fermi level is 0.963 states/eV/atom. The symmetry is P-1. The formation enthalpy at 0 K is 0.612 eV per atom. For the uncorrected energy, the calculation gives -2.762 eV per atom. As for the total magnetization: 0.18 μB per atom.

a b c (Å): 4.181 5.860 6.187
angles (deg): 118.03 109.16 90.51
Fractional coordinates of all 4 atoms:
Rb 0.099 0.343 0.187
Rb 0.901 0.657 0.813
Ni 0.287 0.037 0.575
Ni 0.713 0.963 0.425


No. 11
The following is a DFT calculation (GGA-PBE) of a relaxed structure of RbNi.

Its density of states at the Fermi level is 1.106 states/eV/atom. The symmetry is P6_3/mmc. The formation enthalpy at 0 K is 0.629 eV per atom. For the uncorrected energy, the calculation gives -2.745 eV per atom. As for the total magnetization: 0.19 μB per atom.

a b c (Å): 11.949 11.949 4.190
angles (deg): 90.00 90.00 120.00
Fractional coordinates of all 12 atoms:
Rb 0.210 0.421 0.250
Rb 0.210 0.790 0.250
Rb 0.421 0.210 0.750
Rb 0.579 0.790 0.250
Rb 0.790 0.210 0.750
Rb 0.790 0.579 0.750
Ni 0.037 0.518 0.750
Ni 0.482 0.518 0.750
Ni 0.482 0.963 0.750
Ni 0.518 0.037 0.250
Ni 0.518 0.482 0.250
Ni 0.963 0.482 0.250


No. 12
The following is a DFT calculation (GGA-PBE) of a relaxed structure of RbNi.

Its density of states at the Fermi level is 1.734 states/eV/atom. The symmetry is P2_12_12_1. The formation enthalpy at 0 K is 0.641 eV per atom. For the uncorrected energy, the calculation gives -2.733 eV per atom. As for the total magnetization: 0.24 μB per atom.

a b c (Å): 5.938 8.286 10.617
angles (deg): 90.00 90.00 90.00
Fractional coordinates of all 16 atoms:
Rb 0.002 0.063 0.006
Rb 0.005 0.614 0.147
Rb 0.495 0.386 0.647
Rb 0.498 0.937 0.506
Rb 0.502 0.437 0.994
Rb 0.505 0.886 0.853
Rb 0.995 0.114 0.353
Rb 0.998 0.563 0.494
Ni 0.005 0.887 0.694
Ni 0.007 0.657 0.807
Ni 0.493 0.343 0.307
Ni 0.495 0.113 0.194
Ni 0.505 0.613 0.306
Ni 0.507 0.843 0.193
Ni 0.993 0.157 0.693
Ni 0.995 0.387 0.806